! GGA-PBE La2PaCo3Ni12, relaxed; values from VASP
! N(E_F) = 1.03 states/eV/atom
! Theoretical density = 9.06 g cm⁻³
! ΔH_f (0 K) = 0.039 eV/atom
! Space-group type = R-3m (166)
! E_tot = -6.074 eV/atom
&SYSTEM
  ibrav = 0, nat = 18, ntyp = 4
/
ATOMIC_SPECIES
La 138.91 La.upf
Ni 58.69 Ni.upf
Co 58.93 Co.upf
Pa 231.04 Pa.upf
ATOMIC_POSITIONS crystal
La 0.714 0.714 0.714
La 0.286 0.286 0.286
Ni 0.202 0.202 0.717
Ni 0.202 0.717 0.202
Ni 0.717 0.202 0.202
Ni 0.136 0.591 0.591
Ni 0.798 0.798 0.283
Ni 0.409 0.409 0.864
Ni 0.409 0.864 0.409
Ni 0.591 0.591 0.136
Ni 0.864 0.409 0.409
Ni 0.798 0.283 0.798
Ni 0.591 0.136 0.591
Ni 0.283 0.798 0.798
Co 0.000 0.000 0.500
Co 0.500 0.000 0.000
Co 0.000 0.500 0.000
Pa 0.000 0.000 0.000
CELL_PARAMETERS angstrom
-5.340 0.391 -3.487
-4.029 -2.345 4.370
-2.092 5.585 2.294

! GGA-PBE PmDy2IO8, relaxed; values from VASP
! ΔE_f (raw) = -2318 meV per atom
! Theoretical density = 6.80 g cm⁻³
! Space-group type = Cmmm (65)
! E_tot = -6.915 eV/atom
&SYSTEM
  ibrav = 0, nat = 12, ntyp = 4
/
ATOMIC_SPECIES
O 16.00 O.upf
Pm 145.00 Pm.upf
Dy 162.50 Dy.upf
I 126.90 I.upf
ATOMIC_POSITIONS crystal
O 0.267 0.266 0.000
O 0.182 0.817 0.203
O 0.733 0.734 0.000
O 0.685 0.685 0.500
O 0.818 0.183 0.203
O 0.182 0.817 0.797
O 0.818 0.183 0.797
O 0.315 0.315 0.500
Pm 0.000 0.000 0.500
Dy 0.500 0.500 0.749
Dy 0.500 0.500 0.251
I 0.000 0.000 0.000
CELL_PARAMETERS angstrom
-2.209 -2.242 -3.952
-0.084 -4.373 2.530
-6.231 1.607 2.571

! GGA-PBE TcOs2W, relaxed; values from VASP
! N(E_F) = 1.03 states/eV/atom
! Relative energy among the computed polymorphs = 0.039 eV per atom
! Theoretical density = 18.53 g cm⁻³
! ΔH_f (0 K) = 0.025 eV/atom
! Space-group type = P4/mmm (123)
! E_tot = -11.420 eV/atom
&SYSTEM
  ibrav = 0, nat = 4, ntyp = 3
/
ATOMIC_SPECIES
W 183.84 W.upf
Tc 98.00 Tc.upf
Os 190.23 Os.upf
ATOMIC_POSITIONS crystal
W 0.500 0.000 0.500
Tc 0.500 0.500 0.000
Os 0.000 0.000 0.000
Os 0.000 0.500 0.500
CELL_PARAMETERS angstrom
3.907 0.000 0.000
0.000 3.898 0.000
0.000 0.000 3.898

! GGA-PBE K4Pu3MnTe8, relaxed; values from VASP
! N(E_F) = 2.58 states/eV/atom
! ΔE_f (raw) = -933 meV per atom
! Theoretical density = 5.69 g cm⁻³
! Space-group type = R-3m (166)
! E_tot = -6.038 eV/atom
&SYSTEM
  ibrav = 0, nat = 16, ntyp = 4
/
ATOMIC_SPECIES
K 39.10 K.upf
Mn 54.94 Mn.upf
Te 127.60 Te.upf
Pu 244.00 Pu.upf
ATOMIC_POSITIONS crystal
K 0.500 0.000 0.500
K 0.500 0.000 0.000
K 0.000 0.000 0.500
K 0.000 0.000 0.000
Mn 0.000 0.500 0.000
Te 0.255 0.299 0.027
Te 0.772 0.299 0.027
Te 0.736 0.709 0.473
Te 0.745 0.701 0.973
Te 0.228 0.701 0.973
Te 0.264 0.291 0.527
Te 0.228 0.701 0.456
Te 0.772 0.299 0.544
Pu 0.500 0.500 0.000
Pu 0.500 0.500 0.500
Pu 0.000 0.500 0.500
CELL_PARAMETERS angstrom
9.007 0.000 0.000
0.000 9.671 0.448
-4.503 -4.492 6.378

! GGA-PBE LaMn2C3, relaxed; values from VASP
! N(E_F) = 0.59 states/eV/atom
! Theoretical density = 6.02 g cm⁻³
! ΔH_f (0 K) = -0.071 eV/atom
! Space-group type = Cmcm (63)
! E_tot = -8.561 eV/atom
&SYSTEM
  ibrav = 0, nat = 12, ntyp = 3
/
ATOMIC_SPECIES
La 138.91 La.upf
C 12.01 C.upf
Mn 54.94 Mn.upf
ATOMIC_POSITIONS crystal
La 0.250 0.708 0.416
La 0.750 0.292 0.584
C 0.250 0.080 0.160
C 0.250 0.323 0.859
C 0.250 0.536 0.859
C 0.750 0.677 0.141
C 0.750 0.464 0.141
C 0.750 0.920 0.840
Mn 0.000 0.190 0.000
Mn 0.500 0.190 0.000
Mn 0.000 0.810 0.000
Mn 0.500 0.810 0.000
CELL_PARAMETERS angstrom
-1.920 -0.660 4.495
3.150 -5.782 0.496
2.226 5.129 1.704

! GGA-PBE LaAuS2, relaxed; values from VASP
! N(E_F) = 0.18 states/eV/atom
! Relative energy among the computed polymorphs = 0.095 eV per atom
! ΔE_f (raw) = -1303 meV per atom
! Theoretical density = 6.60 g cm⁻³
! Space-group type = Cmcm (63)
! E_tot = -5.418 eV/atom
&SYSTEM
  ibrav = 0, nat = 8, ntyp = 3
/
ATOMIC_SPECIES
S 32.06 S.upf
La 138.91 La.upf
Au 196.97 Au.upf
ATOMIC_POSITIONS crystal
S 0.202 0.798 0.250
S 0.089 0.911 0.750
S 0.911 0.089 0.250
S 0.798 0.202 0.750
La 0.676 0.324 0.750
La 0.324 0.676 0.250
Au 0.038 0.962 0.250
Au 0.962 0.038 0.750
CELL_PARAMETERS angstrom
-4.498 4.552 -10.543
1.364 -2.517 11.997
2.374 3.347 0.432

no.,M_tot (μB per formula unit)
1,5.084
2,0.000
3,0.000
4,9.188
5,2.576
6,0.000